a | Density functional theory data (GGA-PBE) for crystalline CaTlSbAu at its relaxed geometry.

Unit cell a=3.5683 b=4.5650 c=7.8296 alpha=73.17 beta=76.90 gamma=89.95
Closest atoms and distances in Å follow each position.
Positions (direct):
Sb (0.5508, 0.6748, 0.4754)  1 Au 2.90, 2 Tl 3.15
Tl (0.8743, 0.4936, 0.8319)  2 Au 2.89-2.90, 2 Sb 3.15
Au (0.7484, 0.8729, 0.0769)  2 Tl 2.89-2.90, 1 Sb 2.90, 4 Ca 3.22-3.23
Ca (0.1522, 0.2757, 0.2716)  4 Au 3.22-3.23, 4 Sb 3.25-3.26, 2 Ca 3.57

Results
Size of the total moment, μB/f.u.: 0.00
Crystal system: triclinic

---

b | Density functional theory data (GGA-PBE) for crystalline CaTlSbAu at its relaxed geometry.

Unit cell a=4.4772 b=4.5864 c=5.8426 alpha=89.95 beta=67.72 gamma=89.96
Closest atoms and distances in Å follow each position.
Positions (direct):
Sb (0.7635, 0.8289, 0.8977)  2 Au 2.82-2.83, 1 Ca 3.13
Tl (0.1859, 0.3290, 0.0524)  1 Au 2.92
Au (0.9167, 0.3292, 0.5925)  2 Sb 2.82-2.83, 1 Tl 2.92
Ca (0.4726, 0.8299, 0.4759)  3 Sb 3.13-3.20, 4 Au 3.26-3.27

Results
Size of the total moment, μB/f.u.: 0.00
Crystal system: monoclinic

---

It is b that is most stable; the runner-up trails by 62 meV/atom.